No. 1
VASP calculation (PBE) on a relaxed ScNiOs2Rh crystal.

For the calculated volume, the calculation gives 98.1 Å³/f.u. For the total magnetic moment, the calculation gives 0.0004 μB per atom. The formation energy from the elements comes out at 1329 meV per atom.

It has space group P4/mmm (No. 123), with a = 4.6550 Å, b = 4.6550 Å, c = 4.5252 Å, α = 90.00°, β = 90.00° and γ = 90.00°. The distinct sites, in fractional coordinates, are Sc at (0.0000, 0.0000, 0.0000), Ni at (0.5000, 0.5000, 0.0000), Os at (0.0000, 0.5000, 0.5000) and Rh at (0.5000, 0.5000, 0.5000).



No. 2
VASP calculation (PBE) on a relaxed MgTc3As crystal.

For the calculated volume, the calculation gives 93.5 Å³/f.u. For the total magnetic moment, the calculation gives 0.7539 μB per atom. The formation energy from the elements comes out at 1996 meV per atom. The calculation puts the excess energy over the best structure of this formula in the dataset at 1134 meV/atom.

It has space group Pm-3m (No. 221), with a = 4.5388 Å, b = 4.5388 Å, c = 4.5388 Å, α = 90.00°, β = 90.00° and γ = 90.00°. The distinct sites, in fractional coordinates, are Mg at (0.0000, 0.0000, 0.0000), Tc at (0.0000, 0.0000, 0.5000) and As at (0.5000, 0.5000, 0.5000).



No. 3
VASP calculation (PBE) on a relaxed La2Pm6Si crystal.

The calculation puts the formation energy without anion corrections at 0.03 eV/atom. For the calculated volume, the calculation gives 300.4 Å³/f.u. For the total magnetic moment, the calculation gives 0.0000 μB per atom.

It has space group P-6m2 (No. 187), with a = 3.6439 Å, b = 3.6439 Å, c = 26.1274 Å, α = 90.00°, β = 90.00° and γ = 120.00°. The distinct sites, in fractional coordinates, are La at (0.0000, 0.0000, 0.1802), Pm at (0.0000, 0.0000, 0.4159), Pm at (0.6667, 0.3333, 0.0657), Pm at (0.6667, 0.3333, 0.2990) and Si at (0.6667, 0.3333, 0.5000).



No. 4
VASP calculation (PBE) on a relaxed PrNd4Pb crystal.

For the calculated volume, the calculation gives 243.6 Å³/f.u. For the total magnetic moment, the calculation gives 0.0622 μB per atom. The formation energy from the elements comes out at 332 meV per atom.

It has space group I4_1md (No. 109), with a = 11.8223 Å, b = 11.8223 Å, c = 6.9716 Å, α = 90.00°, β = 90.00° and γ = 90.00°. The distinct sites, in fractional coordinates, are Pr at (0.0000, 0.0000, 0.0000), Nd at (0.0000, 0.2303, 0.2051), Nd at (0.0000, 0.2397, 0.6957) and Pb at (0.0000, 0.0000, 0.4928).



No. 5
VASP calculation (PBE) on a relaxed Hf3ZnP crystal.

For the calculated volume, the calculation gives 109.6 Å³/f.u. For the total magnetic moment, the calculation gives 0.0000 μB per atom. The formation energy from the elements comes out at -131 meV per atom. The calculation puts the excess energy over the best structure of this formula in the dataset at 256 meV/atom.

It has space group Pm-3m (No. 221), with a = 4.7855 Å, b = 4.7855 Å, c = 4.7855 Å, α = 90.00°, β = 90.00° and γ = 90.00°. The distinct sites, in fractional coordinates, are Hf at (0.0000, 0.0000, 0.5000), Zn at (0.5000, 0.5000, 0.5000) and P at (0.0000, 0.0000, 0.0000).



No. 6
VASP calculation (PBE) on a relaxed GdCo2 crystal.

For the calculated volume, the calculation gives 50.2 Å³/f.u. For the total magnetic moment, the calculation gives 1.4605 μB per atom. The formation energy from the elements comes out at 112 meV per atom. The calculation puts the excess energy over the best structure of this formula in the dataset at 287 meV/atom.

It has space group C2/m (No. 12), with a = 4.5012 Å, b = 4.4940 Å, c = 5.4442 Å, α = 90.00°, β = 114.19° and γ = 90.00°. The distinct sites, in fractional coordinates, are Gd at (0.0000, 0.0000, 0.0000) and Co at (0.2064, 0.5000, 0.4121).